First-principles (PBE-GGA) data for an optimized crystal structure of LiUAl2, as listed in Alexandria.

a b c (Å): 2.7866 2.7866 8.9464
angles (deg): 90.00 90.00 90.00
Closest atoms and distances in Å follow each position.
Positions (direct):
Li: 0.0000 0.0000 0.0000  4 Li 2.79, 8 Al 2.87
U: 0.0000 0.0000 0.5000  4 U 2.79, 8 Al 3.09
Al: 0.5000 0.5000 0.2334  4 Al 2.79, 4 Li 2.87, 4 U 3.09
Al: 0.5000 0.5000 0.7666  4 Al 2.79, 4 Li 2.87, 4 U 3.09

Calculated values
Formation energy from the elements   -2.64 kcal/mol of atoms
Electronic total energy   -21.15 eV for the cell shown
Space-group type   P4/mmm (123)